(1)
Crystalline NbHPt2Rh at its relaxed geometry, computed with PBE.

Fermi-level density of states ... 4.3 states/eV per cell
Space-group type ... P4/mmm (123)
Excess energy over the best structure of this formula in the dataset ... 16 meV/atom

abc: 3.943 3.943 4.223
angles: 90.00 90.00 90.00
Atoms (fractional coordinates):
H  0.000  0.000  0.000
Nb  0.000  0.000  0.500
Rh  0.500  0.500  0.500
Pt  0.000  0.500  0.000
Pt  0.500  0.000  0.000



(2)
Crystalline Ta6ZnMo5 at its relaxed geometry, computed with PBE.

Fermi-level density of states ... 7.8 states/eV per cell
Space-group type ... C2/m (12)
ΔE_f ... -1.7 eV/f.u.

abc: 4.546 6.476 7.923
angles: 114.12 106.59 90.00
Atoms (fractional coordinates):
Zn  0.000  0.000  0.000
Mo  0.661  0.161  0.323
Mo  0.332  0.332  0.665
Mo  0.000  0.500  0.000
Mo  0.668  0.668  0.335
Mo  0.339  0.839  0.677
Ta  0.832  0.579  0.664
Ta  0.832  0.085  0.664
Ta  0.500  0.741  0.000
Ta  0.500  0.259  0.000
Ta  0.168  0.915  0.336
Ta  0.168  0.421  0.336



(3)
Crystalline CdPCl2 at its relaxed geometry, computed with PBE.

Fermi-level density of states ... 1.6 states/eV per cell
Space-group type ... Pmmm (47)
Formation energy (no corrections) ... 103 meV per atom
Excess energy over the best structure of this formula in the dataset ... 498 meV/atom

abc: 3.277 5.924 7.328
angles: 36.10 90.00 90.00
Atoms (fractional coordinates):
Cd  0.000  0.000  0.500
Cl  0.000  0.000  0.000
Cl  0.500  0.500  0.000
P  0.500  0.500  0.500



(4)
Crystalline USnPt6 at its relaxed geometry, computed with PBE.

Fermi-level density of states ... 9.4 states/eV per cell
Space-group type ... P4/mmm (123)
ΔE_f ... -4.4 eV/f.u.

abc: 4.116 4.116 8.216
angles: 90.00 90.00 90.00
Each line ends with the local moment (μB).
Atoms (fractional coordinates):
U  0.000  0.000  0.500  1.58
Sn  0.000  0.000  0.000  0.02
Pt  0.500  0.500  0.000  0.01
Pt  0.500  0.500  0.500  0.01
Pt  0.500  0.000  0.250  0.01
Pt  0.500  0.000  0.750  0.01
Pt  0.000  0.500  0.250  0.01
Pt  0.000  0.500  0.750  0.01



(5)
Crystalline Ga2Sn2Br at its relaxed geometry, computed with PBE.

Fermi-level density of states ... 5.5 states/eV per cell
Space-group type ... P4/mbm (127)
Formation energy (no corrections) ... -38 meV per atom
Excess energy over the best structure of this formula in the dataset ... 8 meV/atom

abc: 8.525 8.525 3.528
angles: 90.00 90.00 90.00
Atoms (fractional coordinates):
Ga  0.115  0.615  0.500
Ga  0.615  0.885  0.500
Ga  0.885  0.385  0.500
Ga  0.385  0.115  0.500
Sn  0.316  0.816  0.000
Sn  0.816  0.684  0.000
Sn  0.684  0.184  0.000
Sn  0.184  0.316  0.000
Br  0.000  0.000  0.000
Br  0.500  0.500  0.000



(6)
Crystalline Ac2PmRe2N6 at its relaxed geometry, computed with PBE.

Fermi-level density of states ... 2.9 states/eV per cell
Space-group type ... R-3m (166)
Formation energy (no corrections) ... -762 meV per atom

abc: 5.935 5.935 7.137
angles: 65.43 65.43 60.00
Atoms (fractional coordinates):
Ac  0.788  0.788  0.636
Ac  0.212  0.212  0.364
Pm  0.000  0.000  0.000
Re  0.403  0.403  0.791
Re  0.597  0.597  0.209
N  0.740  0.740  0.288
N  0.232  0.740  0.288
N  0.740  0.232  0.288
N  0.260  0.768  0.712
N  0.768  0.260  0.712
N  0.260  0.260  0.712



(7)
Crystalline LiW2 at its relaxed geometry, computed with PBE.

Fermi-level density of states ... 4.0 states/eV per cell
Space-group type ... C2/m (12)
Excess energy over the best structure of this formula in the dataset ... 169 meV/atom
ΔE_f ... 1.6 eV/f.u.

abc: 5.689 5.689 6.747
angles: 79.79 79.79 26.50
Atoms (fractional coordinates):
Li  0.030  0.030  0.168
Li  0.970  0.970  0.832
W  0.380  0.380  0.501
W  0.723  0.723  0.825
W  0.277  0.277  0.175
W  0.620  0.620  0.499



(8)
Crystalline ErCdPd14 at its relaxed geometry, computed with PBE.

Fermi-level density of states ... 28.9 states/eV per cell
Space-group type ... P4/mmm (123)
ΔE_f ... -4.3 eV/f.u.

abc: 5.677 5.677 7.996
angles: 90.00 90.00 89.99
Atoms (fractional coordinates):
Er  0.875  0.875  0.500
Cd  0.375  0.375  0.500
Pd  0.875  0.875  0.000
Pd  0.375  0.375  0.000
Pd  0.875  0.375  0.500
Pd  0.875  0.375  0.000
Pd  0.375  0.875  0.500
Pd  0.375  0.875  0.000
Pd  0.625  0.125  0.244
Pd  0.625  0.125  0.756
Pd  0.125  0.625  0.244
Pd  0.125  0.625  0.756
Pd  0.625  0.625  0.244
Pd  0.625  0.625  0.756
Pd  0.125  0.125  0.244
Pd  0.125  0.125  0.756



(9)
Crystalline ScRh3Au at its relaxed geometry, computed with PBE.

Fermi-level density of states ... 6.3 states/eV per cell
Space-group type ... Pm-3m (221)
Excess energy over the best structure of this formula in the dataset ... 0 meV/atom
ΔE_f ... 4.2 eV/f.u.

abc: 4.610 4.610 4.610
angles: 90.00 90.00 90.00
Each line ends with the local moment (μB).
Atoms (fractional coordinates):
Sc  0.000  0.000  0.000  -0.06
Rh  0.000  0.500  0.000  0.41
Rh  0.000  0.000  0.500  0.43
Rh  0.500  0.000  0.000  0.26
Au  0.500  0.500  0.500  -0.01



(10)
Crystalline CeEr2NpO8 at its relaxed geometry, computed with PBE.

Fermi-level density of states ... 4.6 states/eV per cell
Space-group type ... P2/m (10)
Formation energy (no corrections) ... -3315 meV per atom

abc: 3.804 5.330 7.513
angles: 90.00 90.00 90.10
Each line ends with the local moment (μB).
Atoms (fractional coordinates):
Ce  0.000  0.000  0.500  0.01
Er  0.500  0.500  0.751  0.00
Er  0.500  0.500  0.249  0.00
Np  0.000  0.000  0.000  1.28
O  0.001  0.757  0.231  -0.04
O  0.501  0.767  0.000  -0.05
O  0.999  0.242  0.231  -0.04
O  0.999  0.243  0.769  -0.04
O  0.499  0.233  0.000  -0.05
O  0.001  0.758  0.769  -0.04
O  0.500  0.749  0.500  -0.01
O  0.500  0.251  0.500  -0.01



(11)
Crystalline ScGaCuIr at its relaxed geometry, computed with PBE.

Fermi-level density of states ... 2.0 states/eV per cell
Space-group type ... F-43m (216)
ΔE_f ... -2.2 eV/f.u.

abc: 4.429 4.429 4.429
angles: 60.00 60.00 60.00
Atoms (fractional coordinates):
Sc  0.000  0.000  0.000
Ir  0.750  0.750  0.750
Cu  0.250  0.250  0.250
Ga  0.500  0.500  0.500



(12)
Crystalline BaCeEr4S8 at its relaxed geometry, computed with PBE.

Fermi-level density of states ... 10.0 states/eV per cell
Space-group type ... R3m (160)
Formation energy (no corrections) ... -1937 meV per atom

abc: 8.188 8.188 8.299
angles: 60.44 60.44 60.00
Each line ends with the local moment (μB).
Atoms (fractional coordinates):
Ba  0.374  0.374  0.879  0.00
Ce  0.001  0.001  0.998  1.04
Er  0.625  0.625  0.125  0.06
Er  0.002  0.496  0.501  0.04
Er  0.496  0.002  0.501  0.04
Er  0.002  0.002  0.501  0.04
S  0.238  0.804  0.720  -0.01
S  0.804  0.238  0.720  -0.01
S  0.238  0.238  0.720  -0.01
S  0.232  0.232  0.305  0.00
S  0.749  0.233  0.268  -0.01
S  0.233  0.749  0.268  -0.01
S  0.749  0.749  0.268  -0.01
S  0.757  0.757  0.729  0.00



Ρ readings, ordered: 14.85; 13.39; 4.25; 18.22; 5.92; 9.18; 12.99; 11.40; 9.33; 9.15; 10.01; 5.04 Mg/m³